This record from Alexandria via LeMat-Bulk describes crystalline EuYSn at its relaxed geometry. The functional is PBE-GGA.

Lattice parameters (Å, degrees): 3.4598 3.4598 9.1720 100.87 100.87 90.00
Element x y z (fractional)
Eu (0.9434, 0.9434, 0.8868)
Y (0.1443, 0.1443, 0.2886)
Sn (0.7623, 0.7623, 0.5245)

Output
Space group   I4mm, No. 107
Crystal system   tetragonal
Energy relative to the lowest polymorph listed for this composition   457 meV per atom
Formation energy   19.0 meV per atom


This record from Alexandria via LeMat-Bulk describes crystalline Ta2Ni at its relaxed geometry. The functional is PBE-GGA.

Lattice parameters (Å, degrees): 4.8831 4.8831 9.3228 90.00 90.00 120.00
Element x y z (fractional)
Ta (0.0000, 0.0000, 0.0000)
Ni (0.3333, 0.6667, 0.0000)
Ta (0.0000, 0.6557, 0.2500)
Ta (0.0000, 0.0000, 0.5000)
Ta (0.3443, 0.0000, 0.7500)
Ta (0.0000, 0.3443, 0.7500)
Ta (0.3443, 0.3443, 0.2500)
Ta (0.6557, 0.6557, 0.7500)
Ni (0.6667, 0.3333, 0.0000)
Ni (0.6667, 0.3333, 0.5000)
Ta (0.6557, 0.0000, 0.2500)
Ni (0.3333, 0.6667, 0.5000)

Output
Space group   P6_3/mcm, No. 193
Crystal system   hexagonal
Formation energy   111.6 meV per atom


This record from Alexandria via LeMat-Bulk describes crystalline LaMo2C2 at its relaxed geometry. The functional is PBE-GGA.

Lattice parameters (Å, degrees): 5.7732 5.7732 5.8934 111.57 111.57 104.44
Element x y z (fractional)
Mo (0.5151, 0.2651, 0.0301)
C (0.1778, 0.3222, 0.7500)
C (0.4277, 0.0723, 0.2500)
La (0.1250, 0.3750, 0.2500)
Mo (0.2349, 0.9849, 0.4699)
La (0.8750, 0.6250, 0.7500)
Mo (0.4849, 0.7349, 0.9699)
C (0.8222, 0.6778, 0.2500)
C (0.5723, 0.9277, 0.7500)
Mo (0.7651, 0.0151, 0.5301)

Output
Space group   Fddd, No. 70
Crystal system   orthorhombic
Energy relative to the lowest polymorph listed for this composition   0 meV per atom
Formation energy   -57.1 meV per atom


This record from Alexandria via LeMat-Bulk describes crystalline Sm3Dy4Er3 at its relaxed geometry. The functional is PBE-GGA.

Lattice parameters (Å, degrees): 3.6848 9.3596 9.3596 90.23 90.00 90.00
Element x y z (fractional)
Dy (0.0000, 0.8762, 0.8722)
Dy (0.0000, 0.6265, 0.3735)
Sm (0.5000, 0.3264, 0.3277)
Er (0.0000, 0.0015, 0.5041)
Sm (0.5000, 0.6723, 0.6736)
Dy (0.0000, 0.3725, 0.6275)
Er (0.0000, 0.4959, 0.9985)
Er (0.5000, 0.1731, 0.8269)
Sm (0.5000, 0.8276, 0.1724)
Dy (0.0000, 0.1278, 0.1238)

Output
Space group   Amm2, No. 38
Crystal system   orthorhombic
Formation energy   99.7 meV per atom


Among the records above, which one has the highest formation energy?
Ta2Ni


formation energy of number 2 (Ta2Ni)?
111.6 meV per atom